No. 1
Crystalline PuSb2Au at its relaxed geometry, computed with PBE.

Calculated values
formation energy from raw total energies	-0.433	eV/atom
symmetry	No. 123

Lattice parameters (Å, degrees): 4.739 4.739 4.222 90.00 90.00 90.00
Sites, in units of the cell vectors:
Pu 0.000 0.000 0.000
Sb 0.000 0.500 0.500
Sb 0.500 0.000 0.500
Au 0.500 0.500 0.000

---

No. 2
Crystalline CeGaSb at its relaxed geometry, computed with PBE.

Calculated values
ΔE to the lowest computed polymorph	99	meV/atom
formation energy from raw total energies	-0.431	eV/atom
symmetry	No. 107

Lattice parameters (Å, degrees): 5.357 5.357 5.357 132.35 132.35 69.68
Sites, in units of the cell vectors:
Ce 0.000 0.000 0.000
Ga 0.339 0.339 0.000
Sb 0.640 0.640 0.000

---

No. 3
Crystalline K2HgP2 at its relaxed geometry, computed with PBE.

Calculated values
ΔE to the lowest computed polymorph	82	meV/atom
DFT formation energy	-80	kJ/mol of formula units
symmetry	No. 127

Lattice parameters (Å, degrees): 9.148 9.148 3.883 90.00 90.00 90.00
Sites, in units of the cell vectors:
K 0.198 0.302 0.000
K 0.302 0.802 0.000
K 0.698 0.198 0.000
K 0.802 0.698 0.000
Hg 0.000 0.000 0.000
Hg 0.500 0.500 0.000
P 0.079 0.579 0.500
P 0.421 0.079 0.500
P 0.579 0.921 0.500
P 0.921 0.421 0.500

---

No. 4
Crystalline NaYGa6 at its relaxed geometry, computed with PBE.

Calculated values
DFT formation energy	-204	kJ/mol of formula units
symmetry	No. 25

Lattice parameters (Å, degrees): 4.379 5.953 6.215 90.00 90.00 90.00
Sites, in units of the cell vectors:
Na 0.000 0.000 0.000
Y 0.500 0.500 0.186
Ga 0.000 0.264 0.447
Ga 0.000 0.500 0.840
Ga 0.000 0.736 0.447
Ga 0.500 0.000 0.347
Ga 0.500 0.236 0.735
Ga 0.500 0.764 0.735